Density functional theory data (PBE+U) for a relaxed RbBa2VF8 crystal.

Properties
Its total DFT energy (no corrections) is -5.595 eV/atom. The calculated density is 4.19 g/cm3. The density of states at the Fermi level is 0.000 states/eV per cell.

The structure in POSCAR format:
```
RbBa2VF8
1.0
4.639 0.000 0.000
0.000 8.436 0.000
-0.903 0.000 5.698
Rb Ba V F
1 2 1 8
direct
0.000 0.000 0.000
0.500 0.259 0.500
0.500 0.741 0.500
0.000 0.500 0.000
0.068 0.323 0.777
0.068 0.677 0.777
0.387 0.500 0.199
0.442 0.000 0.727
0.558 0.000 0.273
0.613 0.500 0.801
0.932 0.323 0.223
0.932 0.677 0.223
```